(1)
A plane-wave DFT calculation with PBE-GGA was carried out for an optimized crystal structure of NdDyNi4.

Lattice parameters (Å, degrees): 5.4025 5.4025 7.9935 90.00 90.00 120.00
Last column: nearest neighbours and their distance in Å.
Sites, in units of the cell vectors:
Nd: 0.0000 0.0000 0.0000  6 Dy 3.12, 12 Ni 3.47
Nd: 0.0000 0.0000 0.5000  18 Ni 3.12-3.25
Dy: 0.3333 0.6667 0.0000  6 Ni 2.68
Dy: 0.6667 0.3333 0.0000  6 Ni 2.68
Ni: 0.0000 0.5000 0.2732  2 Ni 2.39
Ni: 0.0000 0.5000 0.7268  2 Ni 2.39
Ni: 0.3333 0.6667 0.5000  6 Ni 2.39
Ni: 0.5000 0.0000 0.2732  2 Ni 2.39
Ni: 0.5000 0.0000 0.7268  2 Ni 2.39
Ni: 0.5000 0.5000 0.2732  2 Ni 2.39
Ni: 0.5000 0.5000 0.7268  2 Ni 2.39
Ni: 0.6667 0.3333 0.5000  6 Ni 2.39

- calculated volume (Å³/cell) = 202.0
- SG = No. 191
- DFT formation energy (eV/atom) = -0.021
- distance to the lowest polymorph of the same formula (eV per atom) = 0.358
- total energy (Ry/atom) = -0.389
- total moment (μB per formula unit) = 0.0


(2)
A plane-wave DFT calculation with PBE-GGA was carried out for an optimized crystal structure of Nd2DyNi9.

Lattice parameters (Å, degrees): 8.7340 8.7340 8.7340 33.11 33.11 33.11
Last column: nearest neighbours and their distance in Å.
Sites, in units of the cell vectors:
Nd: 0.1381 0.1381 0.1381  12 Ni 2.88-3.20, 3 Nd 3.20
Nd: 0.8619 0.8619 0.8619  12 Ni 2.88-3.20, 3 Nd 3.20
Dy: 0.0000 0.0000 0.0000  18 Ni 2.87-3.18
Ni: 0.0804 0.5795 0.5795  7 Ni 2.43-2.58
Ni: 0.3328 0.3328 0.3328  6 Ni 2.43-2.45
Ni: 0.4205 0.4205 0.9196  7 Ni 2.43-2.58
Ni: 0.4205 0.9196 0.4205  7 Ni 2.43-2.58
Ni: 0.5000 0.5000 0.5000  6 Ni 2.58
Ni: 0.5795 0.0804 0.5795  7 Ni 2.43-2.58
Ni: 0.5795 0.5795 0.0804  7 Ni 2.43-2.58
Ni: 0.6672 0.6672 0.6672  6 Ni 2.43-2.45
Ni: 0.9196 0.4205 0.4205  7 Ni 2.43-2.58

- calculated volume (Å³/cell) = 176.9
- SG = No. 166
- DFT formation energy (eV/atom) = -0.342
- total energy (Ry/atom) = -0.419
- total moment (μB per formula unit) = 0.6


- The lowest total moment belongs to which entry?
  NdDyNi4


What did the first record say?
A plane-wave DFT calculation with PBE-GGA was carried out for an optimized crystal structure of NdDyNi4.

Lattice parameters (Å, degrees): 5.4025 5.4025 7.9935 90.00 90.00 120.00
Last column: nearest neighbours and their distance in Å.
Sites, in units of the cell vectors:
Nd: 0.0000 0.0000 0.0000  6 Dy 3.12, 12 Ni 3.47
Nd: 0.0000 0.0000 0.5000  18 Ni 3.12-3.25
Dy: 0.3333 0.6667 0.0000  6 Ni 2.68
Dy: 0.6667 0.3333 0.0000  6 Ni 2.68
Ni: 0.0000 0.5000 0.2732  2 Ni 2.39
Ni: 0.0000 0.5000 0.7268  2 Ni 2.39
Ni: 0.3333 0.6667 0.5000  6 Ni 2.39
Ni: 0.5000 0.0000 0.2732  2 Ni 2.39
Ni: 0.5000 0.0000 0.7268  2 Ni 2.39
Ni: 0.5000 0.5000 0.2732  2 Ni 2.39
Ni: 0.5000 0.5000 0.7268  2 Ni 2.39
Ni: 0.6667 0.3333 0.5000  6 Ni 2.39

- calculated volume (Å³/cell) = 202.0
- SG = No. 191
- DFT formation energy (eV/atom) = -0.021
- distance to the lowest polymorph of the same formula (eV per atom) = 0.358
- total energy (Ry/atom) = -0.389
- total moment (μB per formula unit) = 0.0